(1)
HoMgSc2Pd2: optimized geometry, PBE.

size of the total moment = 0.0 μB/cell
DOS at the Fermi energy = 4.357 states/eV/f.u.
E = -5.488 eV/atom
calculated density = 6.6 Mg/m³

Cell: 4.7776 4.7776 6.2918 Å, 90.00 90.00 120.00°
Fractional positions:
Ho  0.0000  0.0000  0.0000
Mg  0.0000  0.0000  0.5000
Sc  0.3333  0.6667  0.6837
Sc  0.6667  0.3333  0.3163
Pd  0.3333  0.6667  0.2418
Pd  0.6667  0.3333  0.7582

***

(2)
Ho2MgSi3Pd4: optimized geometry, PBE.

ΔE_f (raw) = -8.43 eV/f.u.
size of the total moment = 0.0 μB/cell
DOS at the Fermi energy = 5.341 states/eV/f.u.
calculated density = 8.0 Mg/m³

Cell: 4.1643 4.1643 10.3072 Å, 90.00 90.00 90.00°
Fractional positions:
Ho  0.0000  0.5000  0.2409
Ho  0.5000  0.0000  0.7591
Mg  0.0000  0.0000  0.5000
Si  0.0000  0.5000  0.8707
Si  0.5000  0.0000  0.1293
Si  0.5000  0.5000  0.5000
Pd  0.0000  0.0000  0.0000
Pd  0.0000  0.5000  0.6426
Pd  0.5000  0.0000  0.3574
Pd  0.5000  0.5000  0.0000

***

(3)
HoMg2SiPd2: optimized geometry, PBE.

ΔE_f (raw) = -1.67 eV/f.u.
size of the total moment = 0.0 μB/cell
DOS at the Fermi energy = 3.591 states/eV/f.u.
calculated density = 5.7 Mg/m³

Cell: 6.3498 6.3498 6.3498 Å, 133.46 133.46 67.93°
Fractional positions:
Ho  0.0000  0.0000  0.0000
Mg  0.2500  0.7500  0.5000
Mg  0.7500  0.2500  0.5000
Si  0.5000  0.5000  0.0000
Pd  0.2831  0.2831  0.0000
Pd  0.7169  0.7169  0.0000

***

(4)
Ho2MgSi2Pd5: optimized geometry, PBE.

ΔE_f (raw) = -7.71 eV/f.u.
size of the total moment = 0.0 μB/cell
DOS at the Fermi energy = 7.799 states/eV/f.u.
calculated density = 8.8 Mg/m³

Cell: 9.9559 9.9559 3.5961 Å, 90.00 90.00 90.00°
Fractional positions:
Ho  0.1738  0.3262  0.0000
Ho  0.3262  0.8262  0.0000
Ho  0.6738  0.1738  0.0000
Ho  0.8262  0.6738  0.0000
Mg  0.0000  0.0000  0.0000
Mg  0.5000  0.5000  0.0000
Si  0.1264  0.6264  0.0000
Si  0.3736  0.1264  0.0000
Si  0.6264  0.8736  0.0000
Si  0.8736  0.3736  0.0000
Pd  0.0000  0.5000  0.5000
Pd  0.0614  0.7851  0.5000
Pd  0.2149  0.0614  0.5000
Pd  0.2851  0.5614  0.5000
Pd  0.4386  0.2851  0.5000
Pd  0.5000  0.0000  0.5000
Pd  0.5614  0.7149  0.5000
Pd  0.7149  0.4386  0.5000
Pd  0.7851  0.9386  0.5000
Pd  0.9386  0.2149  0.5000

***

(5)
SmHo2MgPd4: optimized geometry, PBE.

size of the total moment = 0.0 μB/cell
DOS at the Fermi energy = 4.957 states/eV/f.u.
E = -5.351 eV/atom
calculated density = 9.4 Mg/m³

Cell: 8.4956 8.4956 8.4956 Å, 33.34 33.34 33.34°
Fractional positions:
Sm  0.0000  0.0000  0.0000
Ho  0.2446  0.2446  0.2446
Ho  0.7554  0.7554  0.7554
Mg  0.5000  0.5000  0.5000
Pd  0.1250  0.1250  0.1250
Pd  0.3793  0.3793  0.3793
Pd  0.6207  0.6207  0.6207
Pd  0.8750  0.8750  0.8750

***

(6)
SmHoMg2Pd4: optimized geometry, PBE.

size of the total moment = 0.0 μB/cell
DOS at the Fermi energy = 4.134 states/eV/f.u.
E = -4.933 eV/atom
calculated density = 8.4 Mg/m³

Cell: 8.3573 8.3573 8.3573 Å, 33.32 33.32 33.32°
Fractional positions:
Sm  0.0000  0.0000  0.0000
Ho  0.5000  0.5000  0.5000
Mg  0.2488  0.2488  0.2488
Mg  0.7512  0.7512  0.7512
Pd  0.1262  0.1262  0.1262
Pd  0.3783  0.3783  0.3783
Pd  0.6217  0.6217  0.6217
Pd  0.8738  0.8738  0.8738

***

(7)
HoMgSnPd: optimized geometry, PBE.

size of the total moment = 0.0 μB/cell
DOS at the Fermi energy = 2.120 states/eV/f.u.
E = -4.457 eV/atom
calculated density = 8.0 Mg/m³

Cell: 4.9513 4.9513 4.9513 Å, 60.00 60.00 60.00°
Fractional positions:
Ho  0.0000  0.0000  0.0000
Mg  0.5000  0.5000  0.5000
Sn  0.2500  0.2500  0.2500
Pd  0.7500  0.7500  0.7500

***

(8)
HoMgTlPd: optimized geometry, PBE.

size of the total moment = 0.0 μB/cell
DOS at the Fermi energy = 1.217 states/eV/f.u.
E = -3.929 eV/atom
calculated density = 9.6 Mg/m³

Cell: 4.9668 4.9668 4.9668 Å, 60.00 60.00 60.00°
Fractional positions:
Ho  0.0000  0.0000  0.0000
Mg  0.5000  0.5000  0.5000
Tl  0.7500  0.7500  0.7500
Pd  0.2500  0.2500  0.2500